[1]
Here is a relaxed structure of LaZr2Cd from Alexandria. Energies are from PBE-GGA.

The structure in POSCAR format:
```
LaZr2Cd
1.0
5.419 -1.614 0.000
5.419 1.614 0.000
-0.766 0.000 5.876
La Zr Cd
1 2 1
Direct
0.000 0.000 0.000 La
0.225 0.225 0.690 Zr
0.484 0.484 0.503 Zr
0.749 0.749 0.246 Cd
```

## Properties
Energy of formation from the pure elements: 0.0818 eV/atom
Fermi-level density of states: 1.30 states/eV per atom
Space-group type: Cm (8)
V: 25.7 Å³/atom
Magnetization: 0.00 μB per formula unit



[2]
Here is a relaxed structure of La2ZrCd from Alexandria. Energies are from PBE-GGA.

The structure in POSCAR format:
```
La2ZrCd
1.0
-1.818 2.806 5.806
1.818 -2.806 5.806
1.818 2.806 -5.806
La Zr Cd
2 1 1
Direct
0.000 0.000 0.000 La
0.718 0.218 0.500 La
0.264 0.764 0.500 Zr
0.469 0.469 0.000 Cd
```

## Properties
Energy of formation from the pure elements: -0.0220 eV/atom
Fermi-level density of states: 1.37 states/eV per atom
Space-group type: Imm2 (44)
V: 29.6 Å³/atom
Magnetization: 0.00 μB per formula unit



[3]
Here is a relaxed structure of LaZr2Cd from Alexandria. Energies are from PBE-GGA.

The structure in POSCAR format:
```
LaZr2Cd
1.0
-2.298 2.298 4.781
2.298 -2.298 4.781
2.298 2.298 -4.781
La Zr Cd
1 2 1
Direct
0.000 0.000 0.000 La
0.250 0.750 0.500 Zr
0.750 0.250 0.500 Zr
0.500 0.500 0.000 Cd
```

## Properties
Energy of formation from the pure elements: 0.0904 eV/atom
Fermi-level density of states: 1.19 states/eV per atom
Space-group type: I4/mmm (139)
V: 25.3 Å³/atom
Magnetization: 0.00 μB per formula unit